(1)
The following is a DFT calculation (PBE) of a relaxed structure of Cs3Dy3TaS8.

- Formation energy without anion corrections: -2365 kJ/mol of formula units

```
data_Cs3Dy3TaS8
_chemical_formula_sum 'Cs9 Dy9 Ta3 S24'
_cell_length_a 7.9023
_cell_length_b 7.9023
_cell_length_c 24.6882
_cell_angle_alpha 90.00
_cell_angle_beta 90.00
_cell_angle_gamma 120.00
_space_group_name_H-M_alt 'R -3 m'
_space_group_IT_number 166
_space_group_name_Hall '-R 3 2"'
loop_
_atom_site_label
_atom_site_fract_x
_atom_site_fract_y
_atom_site_fract_z
_atom_site_occupancy
Cs1 0.0000 0.5000 0.0000 1
Dy1 0.0000 0.5000 0.5000 1
Ta1 0.0000 0.0000 0.5000 1
S1 0.0000 0.0000 0.2276 1
S2 0.0252 0.5126 0.2243 1
```

(2)
The following is a DFT calculation (PBE) of a relaxed structure of TbTmGaRu.

- Energy relative to the lowest polymorph listed for this composition: 26.8 meV per atom
- ΔH_f (0 K): -0.47 eV/atom

```
data_TbTmGaRu
_chemical_formula_sum 'Tb4 Tm4 Ga4 Ru4'
_cell_length_a 6.942
_cell_length_b 6.942
_cell_length_c 6.942
_cell_angle_alpha 90.00
_cell_angle_beta 90.00
_cell_angle_gamma 90.00
_space_group_name_H-M_alt 'F -4 3 m'
_space_group_IT_number 216
_space_group_name_Hall 'F -4 2 3'
loop_
_atom_site_label
_atom_site_fract_x
_atom_site_fract_y
_atom_site_fract_z
_atom_site_occupancy
Tb1 0.000 0.000 0.000 1
Tm1 0.000 0.000 0.500 1
Ga1 0.250 0.250 0.750 1
Ru1 0.250 0.250 0.250 1
```

(3)
The following is a DFT calculation (PBE) of a relaxed structure of TlSbIr2.

- Formation energy without anion corrections: 173 kJ/mol of formula units
- Energy relative to the lowest polymorph listed for this composition: 131.1 meV per atom

```
data_TlSbIr2
_chemical_formula_sum 'Tl1 Sb1 Ir2'
_cell_length_a 4.562
_cell_length_b 3.261
_cell_length_c 5.537
_cell_angle_alpha 90.00
_cell_angle_beta 113.10
_cell_angle_gamma 90.00
_space_group_name_H-M_alt 'P 1 2/m 1'
_space_group_IT_number 10
loop_
_space_group_symop_operation_xyz
'x,y,z'
'-x,-y,-z'
'-x,y,-z'
'x,-y,z'
loop_
_atom_site_label
_atom_site_fract_x
_atom_site_fract_y
_atom_site_fract_z
_atom_site_occupancy
Tl1 0.000 0.000 0.000 1
Sb1 0.500 0.500 0.500 1
Ir1 0.000 0.000 0.500 1
Ir2 0.500 0.500 0.000 1
```

(4)
The following is a DFT calculation (PBE) of a relaxed structure of Rb4TlCd2.

- Energy relative to the lowest polymorph listed for this composition: 0.0 meV per atom
- ΔH_f (0 K): -0.03 eV/atom

```
data_Rb4TlCd2
_chemical_formula_sum 'Rb8 Tl2 Cd4'
_cell_length_a 8.101
_cell_length_b 8.731
_cell_length_c 11.759
_cell_angle_alpha 92.00
_cell_angle_beta 107.43
_cell_angle_gamma 117.32
_space_group_name_H-M_alt 'P 1'
_space_group_IT_number 1
loop_
_space_group_symop_operation_xyz
'x,y,z'
loop_
_atom_site_label
_atom_site_fract_x
_atom_site_fract_y
_atom_site_fract_z
_atom_site_occupancy
Rb1 0.000 0.000 0.000 1
Rb2 0.002 0.499 0.503 1
Rb3 0.085 0.549 0.149 1
Rb4 0.100 0.045 0.652 1
Rb5 0.477 0.508 0.955 1
Rb6 0.492 0.004 0.457 1
Rb7 0.575 0.054 0.103 1
Rb8 0.577 0.553 0.607 1
Tl1 0.099 0.162 0.338 1
Tl2 0.476 0.390 0.268 1
Cd1 0.103 0.663 0.833 1
Cd2 0.474 0.889 0.773 1
Cd3 0.788 0.776 0.303 1
Cd4 0.789 0.276 0.803 1
```

(5)
The following is a DFT calculation (PBE) of a relaxed structure of TaRe2Ge2.

- ΔH_f (0 K): 0.21 eV/atom

```
data_TaRe2Ge2
_chemical_formula_sum 'Ta2 Re4 Ge4'
_cell_length_a 7.189
_cell_length_b 7.189
_cell_length_c 3.013
_cell_angle_alpha 90.00
_cell_angle_beta 90.00
_cell_angle_gamma 90.00
_space_group_name_H-M_alt 'P 4/m b m'
_space_group_IT_number 127
_space_group_name_Hall '-P 4 2ab'
loop_
_atom_site_label
_atom_site_fract_x
_atom_site_fract_y
_atom_site_fract_z
_atom_site_occupancy
Ta1 0.000 0.000 0.000 1
Re1 0.147 0.353 0.500 1
Ge1 0.149 0.649 0.000 1
```

(6)
The following is a DFT calculation (PBE) of a relaxed structure of Sm2SnPd8.

- ΔH_f (0 K): -0.60 eV/atom

```
data_Sm2SnPd8
_chemical_formula_sum 'Sm4 Sn2 Pd16'
_cell_length_a 4.761
_cell_length_b 6.032
_cell_length_c 14.460
_cell_angle_alpha 90.00
_cell_angle_beta 90.00
_cell_angle_gamma 90.00
_space_group_name_H-M_alt 'I m m m'
_space_group_IT_number 71
_space_group_name_Hall '-I 2 2'
loop_
_atom_site_label
_atom_site_fract_x
_atom_site_fract_y
_atom_site_fract_z
_atom_site_occupancy
Sm1 0.000 0.000 0.186 1
Sn1 0.000 0.000 0.500 1
Pd1 0.000 0.252 0.000 1
Pd2 0.000 0.261 0.359 1
Pd3 0.000 0.500 0.180 1
```

(7)
The following is a DFT calculation (PBE) of a relaxed structure of Nd5Mg4Sn.

- ΔH_f (0 K): -0.23 eV/atom

```
data_Nd5Mg4Sn
_chemical_formula_sum 'Nd5 Mg4 Sn1'
_cell_length_a 3.897
_cell_length_b 3.897
_cell_length_c 19.320
_cell_angle_alpha 90.00
_cell_angle_beta 90.00
_cell_angle_gamma 90.00
_space_group_name_H-M_alt 'P 4/m m m'
_space_group_IT_number 123
_space_group_name_Hall '-P 4 2'
loop_
_atom_site_label
_atom_site_fract_x
_atom_site_fract_y
_atom_site_fract_z
_atom_site_occupancy
Nd1 0.000 0.000 0.000 1
Nd2 0.000 0.000 0.202 1
Nd3 0.000 0.000 0.401 1
Mg1 0.500 0.500 0.101 1
Mg2 0.500 0.500 0.298 1
Sn1 0.500 0.500 0.500 1
```

(8)
The following is a DFT calculation (PBE) of a relaxed structure of Ac12Sb3Cl5.

- Formation energy without anion corrections: -1563 kJ/mol of formula units

```
data_Ac12Sb3Cl5
_chemical_formula_sum 'Ac96 Sb24 Cl40'
_cell_length_a 18.444
_cell_length_b 18.444
_cell_length_c 18.444
_cell_angle_alpha 90.00
_cell_angle_beta 90.00
_cell_angle_gamma 90.00
_space_group_name_H-M_alt 'I a -3 d'
_space_group_IT_number 230
_space_group_name_Hall '-I 4bd 2c 3'
loop_
_atom_site_label
_atom_site_fract_x
_atom_site_fract_y
_atom_site_fract_z
_atom_site_occupancy
Ac1 0.033 0.070 0.647 1
Sb1 0.000 0.250 0.125 1
Cl1 0.000 0.000 0.000 1
Cl2 0.000 0.250 0.375 1
```

(9)
The following is a DFT calculation (PBE) of a relaxed structure of K3SI.

- Formation energy without anion corrections: -581 kJ/mol of formula units
- Energy relative to the lowest polymorph listed for this composition: 0.0 meV per atom

```
data_K3SI
_chemical_formula_sum 'K12 S4 I4'
_cell_length_a 8.481
_cell_length_b 4.863
_cell_length_c 19.244
_cell_angle_alpha 90.00
_cell_angle_beta 90.00
_cell_angle_gamma 90.00
_space_group_name_H-M_alt 'P n m a'
_space_group_IT_number 62
loop_
_space_group_symop_operation_xyz
'x,y,z'
'-x,-y,-z'
'-x+1/2,-y,z+1/2'
'x+1/2,y,-z+1/2'
'x+1/2,-y+1/2,-z+1/2'
'-x+1/2,y+1/2,z+1/2'
'-x,y+1/2,-z'
'x,-y+1/2,z'
loop_
_atom_site_label
_atom_site_fract_x
_atom_site_fract_y
_atom_site_fract_z
_atom_site_occupancy
K1 0.017 0.250 0.081 1
K2 0.127 0.750 0.458 1
K3 0.157 0.250 0.695 1
S1 0.238 0.750 0.044 1
I1 0.159 0.250 0.303 1
```

(10)
The following is a DFT calculation (PBE) of a relaxed structure of TeMoPb.

- Formation energy without anion corrections: 61 kJ/mol of formula units
- Energy relative to the lowest polymorph listed for this composition: 2.5 meV per atom

```
data_TeMoPb
_chemical_formula_sum 'Te2 Mo2 Pb2'
_cell_length_a 3.313
_cell_length_b 3.313
_cell_length_c 13.686
_cell_angle_alpha 90.00
_cell_angle_beta 90.00
_cell_angle_gamma 90.00
_space_group_name_H-M_alt 'I 4 m m'
_space_group_IT_number 107
_space_group_name_Hall 'I 4 -2'
loop_
_atom_site_label
_atom_site_fract_x
_atom_site_fract_y
_atom_site_fract_z
_atom_site_occupancy
Te1 0.000 0.000 0.000 1
Mo1 0.000 0.000 0.393 1
Pb1 0.000 0.000 0.739 1
```

(11)
The following is a DFT calculation (PBE) of a relaxed structure of HoCdCl6.

- Formation energy without anion corrections: -1060 kJ/mol of formula units

```
data_HoCdCl6
_chemical_formula_sum 'Ho1 Cd1 Cl6'
_cell_length_a 6.568
_cell_length_b 6.569
_cell_length_c 7.047
_cell_angle_alpha 62.39
_cell_angle_beta 62.46
_cell_angle_gamma 60.01
_space_group_name_H-M_alt 'P -1'
_space_group_IT_number 2
loop_
_space_group_symop_operation_xyz
'x,y,z'
'-x,-y,-z'
loop_
_atom_site_label
_atom_site_fract_x
_atom_site_fract_y
_atom_site_fract_z
_atom_site_occupancy
Ho1 0.000 0.000 0.000 1
Cd1 0.500 0.500 0.500 1
Cl1 0.081 0.754 0.749 1
Cl2 0.249 0.583 0.249 1
Cl3 0.415 0.082 0.751 1
```

(12)
The following is a DFT calculation (PBE) of a relaxed structure of La2ZnHg2.

- Energy relative to the lowest polymorph listed for this composition: 200.4 meV per atom
- ΔH_f (0 K): -0.15 eV/atom

```
data_La2ZnHg2
_chemical_formula_sum 'La4 Zn2 Hg4'
_cell_length_a 4.117
_cell_length_b 4.117
_cell_length_c 17.529
_cell_angle_alpha 90.00
_cell_angle_beta 90.00
_cell_angle_gamma 90.00
_space_group_name_H-M_alt 'I 4/m m m'
_space_group_IT_number 139
_space_group_name_Hall '-I 4 2'
loop_
_atom_site_label
_atom_site_fract_x
_atom_site_fract_y
_atom_site_fract_z
_atom_site_occupancy
La1 0.000 0.000 0.094 1
Zn1 0.000 0.000 0.500 1
Hg1 0.000 0.500 0.250 1
```